Entry 1:
AgMo: relaxed, GGA-PBE.

abc: 6.7343 6.7343 6.7343
angles: 153.49 63.50 123.46
Fractional coordinates of all 6 atoms:
Ag  0.0000  0.0000  0.0000
Ag  0.6228  0.3027  0.3200
Ag  0.9826  0.3027  0.6800
Mo  0.2105  0.8207  0.3898
Mo  0.4309  0.8207  0.6102
Mo  0.5635  0.5635  0.0000

Output
Spin magnetization   0.00 Bohr magnetons per cell
Space group   Imm2
Calculated formation energy   660 meV per atom

---

Entry 2:
Ag2Mo3: relaxed, GGA-PBE.

abc: 12.4641 12.4641 12.4641
angles: 12.81 12.81 12.81
Fractional coordinates of all 5 atoms:
Ag  0.1001  0.1001  0.1001
Ag  0.8999  0.8999  0.8999
Mo  0.3006  0.3006  0.3006
Mo  0.5000  0.5000  0.5000
Mo  0.6994  0.6994  0.6994

Output
Spin magnetization   0.00 Bohr magnetons per cell
Space group   R-3m
Calculated formation energy   505 meV per atom